i:
DFT (GGA-PBE) results for a relaxed structure of Dy2ErPb.

Lattice parameters (Å, degrees): 3.521 3.521 12.149 81.67 81.67 60.00
Fractional coordinates of all 4 atoms:
Dy1 0.088 0.088 0.735
Pb1 0.000 0.000 0.000
Er1 0.500 0.500 0.500
Dy2 0.912 0.912 0.265

DOS(E_F): 0.999 states/eV per atom
Symmetry: No. 166

---

ii:
DFT (GGA-PBE) results for a relaxed structure of Dy2ErPb.

Lattice parameters (Å, degrees): 4.176 6.609 9.490 90.00 90.00 108.40
Fractional coordinates of all 8 atoms:
Er1 0.056 0.112 0.750
Pb1 0.249 0.498 0.250
Dy1 0.631 0.262 0.447
Dy2 0.369 0.738 0.553
Dy3 0.369 0.738 0.947
Er2 0.944 0.888 0.250
Pb2 0.751 0.502 0.750
Dy4 0.631 0.262 0.053

DOS(E_F): 1.438 states/eV per atom
Symmetry: No. 63

---

ii (261 meV per atom below the next structure)